Entry 1:
VASP calculation (PBE-GGA) on a geometry-optimized Tm2SiO6 structure.

## Properties
The space group is No. 136. The value obtained for the formation energy without anion corrections is -2.6683 eV per atom.

a b c (Å): 4.8072 4.8072 9.5985
angles (deg): 90.00 90.00 90.00
Fractional coordinates of all 18 atoms:
Tm 0.0000 0.0000 0.1704
Tm 0.0000 0.0000 0.8296
Tm 0.5000 0.5000 0.3296
Tm 0.5000 0.5000 0.6704
Si 0.0000 0.0000 0.5000
Si 0.5000 0.5000 0.0000
O 0.1808 0.1808 0.3630
O 0.1808 0.1808 0.6370
O 0.2378 0.2378 0.0000
O 0.2622 0.7378 0.5000
O 0.3192 0.6808 0.1370
O 0.3192 0.6808 0.8630
O 0.6808 0.3192 0.1370
O 0.6808 0.3192 0.8630
O 0.7378 0.2622 0.5000
O 0.7622 0.7622 0.0000
O 0.8192 0.8192 0.3630
O 0.8192 0.8192 0.6370

Entry 2:
VASP calculation (PBE-GGA) on a geometry-optimized Rb2ZrTe4Pd2 structure.

## Properties
The space group is No. 12. The value obtained for the formation energy without anion corrections is -0.7636 eV per atom.

a b c (Å): 7.9397 7.9397 8.8599
angles (deg): 105.31 105.31 30.64
Fractional coordinates of all 9 atoms:
Rb 0.1361 0.1361 0.0689
Rb 0.8639 0.8639 0.9311
Zr 0.0000 0.0000 0.5000
Te 0.1963 0.1963 0.6720
Te 0.4941 0.4941 0.7367
Te 0.5059 0.5059 0.2633
Te 0.8037 0.8037 0.3280
Pd 0.3338 0.3338 0.5226
Pd 0.6662 0.6662 0.4774

Entry 3:
VASP calculation (PBE-GGA) on a geometry-optimized SrPtBr2 structure.

## Properties
The space group is No. 47. The value obtained for the formation energy without anion corrections is -0.7280 eV per atom.

a b c (Å): 4.1219 4.2473 5.8119
angles (deg): 90.00 90.00 90.00
Fractional coordinates of all 4 atoms:
Sr 0.0000 0.0000 0.0000
Pt 0.5000 0.0000 0.5000
Br 0.0000 0.5000 0.5000
Br 0.5000 0.5000 0.0000

Entry 4:
VASP calculation (PBE-GGA) on a geometry-optimized BPtF3 structure.

## Properties
The space group is No. 221. The value obtained for the formation energy without anion corrections is -0.0139 eV per atom.

a b c (Å): 3.7859 3.7859 3.7859
angles (deg): 90.00 90.00 90.00
Fractional coordinates of all 5 atoms:
B 0.0000 0.0000 0.0000
Pt 0.5000 0.5000 0.5000
F 0.0000 0.0000 0.5000
F 0.0000 0.5000 0.0000
F 0.5000 0.0000 0.0000

Entry 5:
VASP calculation (PBE-GGA) on a geometry-optimized Tb2ErRu3 structure.

## Properties
The space group is No. 164. Its uncorrected energy is -7.256 eV per atom.

a b c (Å): 4.8001 4.8001 5.8983
angles (deg): 90.00 90.00 120.00
Fractional coordinates of all 6 atoms:
Tb 0.3333 0.6667 0.1682
Tb 0.6667 0.3333 0.8318
Er 0.0000 0.0000 0.5000
Ru 0.0000 0.0000 0.0000
Ru 0.3333 0.6667 0.6651
Ru 0.6667 0.3333 0.3349

Entry 6:
VASP calculation (PBE-GGA) on a geometry-optimized HfHPd2Rh structure.

## Properties
The space group is No. 123. Its uncorrected energy is -6.785 eV per atom.

a b c (Å): 3.8917 3.8917 4.3725
angles (deg): 90.00 90.00 90.00
Fractional coordinates of all 5 atoms:
Hf 0.0000 0.0000 0.0000
H 0.0000 0.0000 0.5000
Pd 0.0000 0.5000 0.5000
Pd 0.5000 0.0000 0.5000
Rh 0.5000 0.5000 0.0000